## w
LaYIr3 | PBE-GGA | relaxed

```
data_LaYIr3
_chemical_formula_sum 'La1 Y1 Ir3'
_cell_length_a 5.019
_cell_length_b 5.019
_cell_length_c 5.019
_cell_angle_alpha 90.00
_cell_angle_beta 90.00
_cell_angle_gamma 90.00
_symmetry_space_group_name_H-M 'P m -3 m'
_symmetry_Int_Tables_number 221
_symmetry_space_group_name_Hall '-P 4 2 3'
loop_
_atom_site_label
_atom_site_fract_x
_atom_site_fract_y
_atom_site_fract_z
_atom_site_occupancy
La1 0.000 0.000 0.000 1
Y1 0.500 0.500 0.500 1
Ir1 0.000 0.500 0.500 1
```

Output
Fermi-level density of states   7.1 states/eV per cell

***

## x
LaYIr3 | PBE-GGA | relaxed

```
data_LaYIr3
_chemical_formula_sum 'La1 Y1 Ir3'
_cell_length_a 4.959
_cell_length_b 4.959
_cell_length_c 4.959
_cell_angle_alpha 90.00
_cell_angle_beta 90.00
_cell_angle_gamma 90.00
_symmetry_space_group_name_H-M 'P m -3 m'
_symmetry_Int_Tables_number 221
_symmetry_space_group_name_Hall '-P 4 2 3'
loop_
_atom_site_label
_atom_site_fract_x
_atom_site_fract_y
_atom_site_fract_z
_atom_site_occupancy
La1 0.000 0.000 0.000 1
Y1 0.500 0.500 0.500 1
Ir1 0.000 0.000 0.500 1
```

Output
Fermi-level density of states   7.7 states/eV per cell

***

Preferred: w; penalty for the next structure: 22.5 kJ/mol of atoms.